*A*
Computed, not measured: a geometry-optimized Rb3NaRe2O9 structure at the GGA-PBE level of DFT.

Lattice parameters (Å, degrees): 5.857 5.857 7.413 90.00 90.00 120.00
Atoms (fractional coordinates):
Rb 0.000 0.000 0.000
Rb 0.333 0.667 0.662
Rb 0.667 0.333 0.338
Na 0.000 0.000 0.500
Re 0.333 0.667 0.164
Re 0.667 0.333 0.836
O 0.000 0.500 0.000
O 0.183 0.366 0.294
O 0.183 0.817 0.294
O 0.366 0.183 0.706
O 0.500 0.000 0.000
O 0.500 0.500 0.000
O 0.634 0.817 0.294
O 0.817 0.183 0.706
O 0.817 0.634 0.706

Computed properties:
The volume is 220.2 Å³ per cell.

***

*B*
Computed, not measured: a geometry-optimized Rb3NaRe2O9 structure at the GGA-PBE level of DFT.

Lattice parameters (Å, degrees): 6.272 6.272 14.639 90.00 90.00 120.00
Atoms (fractional coordinates):
Rb 0.000 0.000 0.250
Rb 0.000 0.000 0.750
Rb 0.333 0.667 0.111
Rb 0.333 0.667 0.389
Rb 0.667 0.333 0.611
Rb 0.667 0.333 0.889
Na 0.000 0.000 0.000
Na 0.000 0.000 0.500
Re 0.333 0.667 0.650
Re 0.333 0.667 0.850
Re 0.667 0.333 0.150
Re 0.667 0.333 0.350
O 0.069 0.534 0.750
O 0.186 0.373 0.594
O 0.186 0.373 0.906
O 0.186 0.814 0.594
O 0.186 0.814 0.906
O 0.373 0.186 0.094
O 0.373 0.186 0.406
O 0.466 0.534 0.750
O 0.466 0.931 0.750
O 0.534 0.069 0.250
O 0.534 0.466 0.250
O 0.627 0.814 0.594
O 0.627 0.814 0.906
O 0.814 0.186 0.094
O 0.814 0.186 0.406
O 0.814 0.627 0.094
O 0.814 0.627 0.406
O 0.931 0.466 0.250

Computed properties:
The volume is 498.8 Å³ per cell.

***

Quick look at relative energies in eV/atom: *A* 0.098; *B* 0.000.